## Li6Ni11O22 (PBE+U)

Data for an optimized crystal structure of Li6Ni11O22.

Computed properties:
Calculated total energy = -186.2 eV for the cell shown
Magnetic moment = 8.00 μB/f.u.

Unit cell a=7.4683 b=7.6807 c=7.6935 alpha=84.87 beta=69.04 gamma=66.31
Atoms (fractional coordinates):
Li1 0.0000 0.0000 0.0000
Li2 0.0887 0.7265 0.2707
Li3 0.2670 0.2064 0.7980
Li4 0.4575 0.6331 0.3606
Li5 0.6336 0.0995 0.9069
Li6 0.8168 0.5234 0.4702
Ni1 0.0466 0.8666 0.6343
Ni2 0.1327 0.5962 0.9066
Ni3 0.2230 0.3222 0.1789
Ni4 0.3246 0.0413 0.4456
Ni5 0.4062 0.7773 0.7257
Ni6 0.4984 0.4993 0.9959
Ni7 0.5898 0.2284 0.2729
Ni8 0.6881 0.9485 0.5419
Ni9 0.7679 0.6856 0.8254
Ni10 0.8640 0.4068 0.0916
Ni11 0.9568 0.1355 0.3628
O1 0.0063 0.4542 0.8482
O2 0.0784 0.2803 0.4215
O3 0.0997 0.1908 0.0943
O4 0.1815 0.9959 0.7057
O5 0.1909 0.9039 0.3877
O6 0.2480 0.7440 0.9706
O7 0.2818 0.6517 0.6409
O8 0.3417 0.4713 0.2432
O9 0.3651 0.3623 0.9313
O10 0.4561 0.1058 0.1907
O11 0.4582 0.1651 0.5206
O12 0.5325 0.9208 0.7890
O13 0.5667 0.7996 0.4802
O14 0.6282 0.5571 0.7478
O15 0.6303 0.6219 0.0809
O16 0.7216 0.3664 0.3374
O17 0.7473 0.2570 0.0257
O18 0.8088 0.0793 0.6268
O19 0.8437 0.9845 0.2984
O20 0.9055 0.8318 0.8816
O21 0.9174 0.7348 0.5597
O22 0.9880 0.5386 0.1748